# 1
DFT (GGA-PBE) results for a relaxed Mg7Cd2Ag crystal.

Cell: 13.4413 8.3345 9.8898 Å, 90.00 128.53 90.00°
Closest atoms and distances in Å follow each position.
Space group C2/c (No. 15)
Asymmetric unit:
Mg 0.0000 0.1400 0.2500  2 Cd 2.90, 1 Ag 3.00, 6 Mg 3.09-3.18
Mg 0.0838 0.3394 0.0736  2 Ag 2.92-2.97, 6 Mg 3.00-3.21, 2 Cd 3.01-3.18
Mg 0.1365 0.2098 0.8061  1 Ag 2.87, 3 Cd 3.03-3.18, 4 Mg 3.10-3.19
Mg 0.2045 0.3601 0.5678  1 Ag 2.83, 3 Cd 2.92-3.14, 3 Mg 2.95-3.17
Cd 0.1717 0.0032 0.0901  9 Mg 2.90-3.18
Ag 0.0000 0.4999 0.2500  9 Mg 2.83-3.00

Computed properties:
Energy of formation (eV/atom): -0.089


# 2
DFT (GGA-PBE) results for a relaxed Mg4CdAg3 crystal.

Cell: 3.3446 3.3446 13.7060 Å, 90.00 90.00 90.00°
Closest atoms and distances in Å follow each position.
Space group P4/mmm (No. 123)
Asymmetric unit:
Mg 0.0000 0.0000 0.1195  8 Ag 2.88-2.89
Mg 0.0000 0.0000 0.3593  4 Ag 2.87, 4 Cd 3.05
Cd 0.5000 0.5000 0.5000  8 Mg 3.05, 4 Cd 3.34
Ag 0.5000 0.5000 0.0000  8 Mg 2.88
Ag 0.5000 0.5000 0.2404  8 Mg 2.87-2.89

Computed properties:
Energy of formation (eV/atom): -0.218


Per-record final energy, Ry/atom: -0.1230 -0.1616